# 1
# Tb12Fe5Pb

A relaxed structure of Tb12Fe5Pb (PBE, Alexandria).

Cell: 8.3631 8.3631 8.3631 Å, 107.25 110.27 110.92°
Last column: nearest neighbours and their distance in Å.
Positions (direct):
Pb (0.0000, 0.5000, 0.5000)  12 Tb 3.41-3.62
Fe (0.6147, 0.6147, 0.0000)  1 Fe 2.18
Fe (0.0000, 0.0000, 0.0000)  4 Tb 2.78
Tb (0.4707, 0.1847, 0.2860)  2 Fe 2.90
Tb (0.8987, 0.1847, 0.7140)  2 Fe 2.90
Tb (0.8062, 0.0164, 0.2103)  2 Fe 2.77-2.78
Tb (0.1938, 0.9836, 0.7897)  2 Fe 2.77-2.78
Tb (0.3028, 0.6888, 0.9916)  3 Fe 2.77-2.87
Tb (0.1938, 0.4041, 0.2103)  2 Fe 2.77-2.78
Fe (0.5000, 0.8929, 0.3929)  1 Fe 2.12
Tb (0.1013, 0.8153, 0.2860)  2 Fe 2.90
Tb (0.6972, 0.3112, 0.0084)  3 Fe 2.77-2.87
Fe (0.5000, 0.1071, 0.6071)  1 Fe 2.12
Fe (0.3853, 0.3853, 0.0000)  1 Fe 2.18
Tb (0.3028, 0.3112, 0.6141)  3 Fe 2.77-2.87
Tb (0.5293, 0.8153, 0.7140)  2 Fe 2.90
Tb (0.8062, 0.5959, 0.7897)  2 Fe 2.77-2.78
Tb (0.6972, 0.6888, 0.3859)  3 Fe 2.77-2.87

## Properties
Symmetry   Immm (71)
DFT formation energy   -0.09 eV per atom



# 2
# ZnTcNi2

A relaxed structure of ZnTcNi2 (PBE, Alexandria).

Cell: 3.7033 2.5923 5.8182 Å, 63.62 90.00 90.00°
Last column: nearest neighbours and their distance in Å.
Positions (direct):
Tc (0.5000, 0.2500, 0.2500)  8 Ni 2.59, 2 Tc 2.59, 2 Zn 2.61
Ni (0.0000, 0.9925, 0.0070)  4 Ni 2.53-2.68, 4 Tc 2.59, 4 Zn 2.63
Ni (0.0000, 0.5075, 0.4930)  4 Ni 2.53-2.68, 4 Tc 2.59, 4 Zn 2.63
Zn (0.5000, 0.7500, 0.7500)  2 Zn 2.59, 2 Tc 2.61, 8 Ni 2.63

## Properties
Symmetry   P2/m (10)
DFT formation energy   -0.04 eV per atom



# 3
# Ba2AlCdCu

A relaxed structure of Ba2AlCdCu (PBE, Alexandria).

Cell: 6.2188 6.2188 4.6677 Å, 90.00 90.00 90.00°
Last column: nearest neighbours and their distance in Å.
Positions (direct):
Cd (0.5000, 0.5000, 0.5000)  8 Ba 3.89
Cu (0.0000, 0.0000, 0.0000)  2 Al 2.33
Ba (0.0000, 0.5000, 0.0000)  2 Cu 3.11
Al (0.0000, 0.0000, 0.5000)  2 Cu 2.33
Ba (0.5000, 0.0000, 0.0000)  2 Cu 3.11

## Properties
Symmetry   P4/mmm (123)
DFT formation energy   -0.08 eV per atom



# 4
# CdAgBrF2

A relaxed structure of CdAgBrF2 (PBE, Alexandria).

Cell: 3.7203 7.1116 8.3718 Å, 111.14 90.00 90.00°
Last column: nearest neighbours and their distance in Å.
Positions (direct):
Ag (0.2500, 0.3452, 0.3908)  3 F 2.58-2.64, 2 Br 2.75
F (0.7500, 0.1661, 0.5080)  3 Cd 2.27-2.51
F (0.2500, 0.9643, 0.2095)  2 Cd 2.24
Cd (0.2500, 0.1434, 0.7024)  3 F 2.24-2.27
F (0.7500, 0.0357, 0.7905)  2 Cd 2.24
Br (0.7500, 0.4568, 0.1989)  1 Cd 2.66, 2 Ag 2.75
Cd (0.7500, 0.8566, 0.2976)  3 F 2.24-2.27
Br (0.2500, 0.5432, 0.8011)  1 Cd 2.66, 2 Ag 2.75
F (0.2500, 0.8339, 0.4920)  3 Cd 2.27-2.51
Ag (0.7500, 0.6548, 0.6092)  3 F 2.58-2.64, 2 Br 2.75

## Properties
Symmetry   P2_1/m (11)
E_form (uncorrected)   -1.333 eV/atom
Energy above the lowest structure with this stoichiometry   0.00 eV per formula unit



# 5
# As2WSe

A relaxed structure of As2WSe (PBE, Alexandria).

Cell: 3.1436 4.5873 4.8136 Å, 90.00 90.00 90.00°
Last column: nearest neighbours and their distance in Å.
Positions (direct):
Se (0.5000, 0.0000, 0.5000)  4 W 2.78, 4 As 2.87
As (0.5000, 0.5000, 0.0000)  4 As 2.78, 4 W 2.87
As (0.0000, 0.0000, 0.0000)  4 As 2.78, 4 Se 2.87
W (0.0000, 0.5000, 0.5000)  4 Se 2.78, 4 As 2.87

## Properties
Symmetry   Pmmm (47)
E_form (uncorrected)   0.674 eV/atom



# 6
# Li2TeIr

A relaxed structure of Li2TeIr (PBE, Alexandria).

Cell: 2.9325 2.9325 8.5376 Å, 90.00 90.00 90.00°
Last column: nearest neighbours and their distance in Å.
Positions (direct):
Li (0.0000, 0.0000, 0.5525)  4 Ir 2.67, 4 Li 2.93
Te (0.5000, 0.5000, 0.2500)  4 Te 2.93
Li (0.0000, 0.0000, 0.9475)  4 Ir 2.67, 4 Li 2.93
Ir (0.5000, 0.5000, 0.7500)  8 Li 2.67, 4 Ir 2.93

## Properties
Symmetry   P4/mmm (123)
E_form (uncorrected)   -0.033 eV/atom